Computed, not measured: crystalline Pm12Dy5Ho2 at its relaxed geometry at the PBE level of DFT.

## Properties
Calculated total energy in Ry per atom: -0.3361
Space group: C2/m, No. 12
Polymorph energy (0 for the lowest one) in meV/atom: 20

abc: 9.1925 9.1925 8.7262
angles: 88.20 88.20 60.56
Element x y z (fractional)
Pm 0.0306 0.6675 0.2373
Pm 0.3325 0.9694 0.7627
Dy 0.2970 0.2970 0.0273
Pm 0.9194 0.9194 0.8818
Pm 0.4399 0.4399 0.3419
Pm 0.6675 0.0306 0.2373
Pm 0.8250 0.4328 0.3224
Dy 0.7687 0.7687 0.5677
Ho 0.3288 0.6712 0.0000
Pm 0.5601 0.5601 0.6581
Pm 0.5672 0.1750 0.6776
Pm 0.9694 0.3325 0.7627
Dy 0.0000 0.0000 0.5000
Dy 0.7030 0.7030 0.9727
Pm 0.4328 0.8250 0.3224
Pm 0.1750 0.5672 0.6776
Ho 0.6712 0.3288 0.0000
Pm 0.0806 0.0806 0.1182
Dy 0.2313 0.2313 0.4323